The following is a GGA-PBE calculation of an optimized crystal structure of CaTb2DyTe4, from Alexandria.

Results
Total energy ... -4.930 eV per atom
Energy relative to the elements, uncorrected ... -1.376 eV per atom
M_tot ... 0.0 μB per cell
Theoretical density ... 7.14 g cm⁻³
DOS at the Fermi energy ... 3.60 states/eV/f.u.

a = 7.617 Å, b = 4.368 Å, c = 7.624 Å
α = 90.00°, β = 109.08°, γ = 90.00°
Space group P2/m (No. 10)
Inequivalent atoms, fractional coordinates:
Ca: 0.000 0.000 0.000 [1 per cell]
Tb: 0.000 0.500 0.500 [1 per cell]
Tb: 0.500 0.000 0.500 [1 per cell]
Dy: 0.500 0.500 0.000 [1 per cell]
Te: 0.251 0.000 0.751 [2 per cell]
Te: 0.252 0.500 0.251 [2 per cell]

The following is a GGA-PBE calculation of an optimized crystal structure of CaTbDy2Tl4, from Alexandria.

Results
Total energy ... -3.522 eV per atom
DFT formation energy ... -35 kJ per mole of atoms
M_tot ... 0.0 μB per cell
Theoretical density ... 10.00 g cm⁻³
DOS at the Fermi energy ... 5.49 states/eV/f.u.

a = 5.3942 Å, b = 5.3942 Å, c = 26.5301 Å
α = 90.00°, β = 90.00°, γ = 120.00°
Space group R-3m (No. 166, hexagonal axes)
Inequivalent atoms, fractional coordinates:
Ca: 0.0000 0.0000 0.0000 [3 per cell]
Tb: 0.0000 0.0000 0.5000 [3 per cell]
Dy: 0.0000 0.0000 0.2522 [6 per cell]
Tl: 0.0000 0.0000 0.1261 [6 per cell]
Tl: 0.0000 0.0000 0.3764 [6 per cell]

The following is a GGA-PBE calculation of an optimized crystal structure of CaTbDyTm, from Alexandria.

Results
Total energy ... -3.762 eV per atom
DFT formation energy ... 16 kJ per mole of atoms
M_tot ... 0.0 μB per cell
Theoretical density ... 6.66 g cm⁻³
DOS at the Fermi energy ... 7.30 states/eV/f.u.

a = 8.088 Å, b = 8.088 Å, c = 8.088 Å
α = 90.00°, β = 90.00°, γ = 90.00°
Space group F-43m (No. 216)
Inequivalent atoms, fractional coordinates:
Ca: 0.000 0.000 0.000 [4 per cell]
Tb: 0.250 0.250 0.750 [4 per cell]
Dy: 0.250 0.250 0.250 [4 per cell]
Tm: 0.000 0.000 0.500 [4 per cell]

The following is a GGA-PBE calculation of an optimized crystal structure of CaTb3Dy6Y2, from Alexandria.

Results
Total energy ... -4.652 eV per atom
DFT formation energy ... 5 kJ per mole of atoms
M_tot ... 0.0 μB per cell
Theoretical density ... 7.16 g cm⁻³
DOS at the Fermi energy ... 18.58 states/eV/f.u.

a = 6.192 Å, b = 10.721 Å, c = 11.839 Å
α = 90.00°, β = 100.00°, γ = 90.00°
Space group C2/m (No. 12)
Inequivalent atoms, fractional coordinates:
Ca: 0.000 0.000 0.000 [2 per cell]
Tb: 0.000 0.166 0.500 [4 per cell]
Tb: 0.000 0.500 0.500 [2 per cell]
Dy: 0.246 0.331 0.747 [8 per cell]
Dy: 0.246 0.500 0.254 [4 per cell]
Y: 0.000 0.333 0.000 [4 per cell]

The following is a GGA-PBE calculation of an optimized crystal structure of CaTbDyY, from Alexandria.

Results
Total energy ... -4.258 eV per atom
DFT formation energy ... 16 kJ per mole of atoms
M_tot ... 0.0 μB per cell
Theoretical density ... 5.54 g cm⁻³
DOS at the Fermi energy ... 7.84 states/eV/f.u.

a = 8.142 Å, b = 8.142 Å, c = 8.142 Å
α = 90.00°, β = 90.00°, γ = 90.00°
Space group F-43m (No. 216)
Inequivalent atoms, fractional coordinates:
Ca: 0.000 0.000 0.000 [4 per cell]
Tb: 0.250 0.250 0.250 [4 per cell]
Dy: 0.250 0.250 0.750 [4 per cell]
Y: 0.000 0.000 0.500 [4 per cell]

The following is a GGA-PBE calculation of an optimized crystal structure of CaTbDy2Y4, from Alexandria.

Results
Total energy ... -4.771 eV per atom
DFT formation energy ... 42 kJ per mole of atoms
M_tot ... 11.5 μB per cell
Theoretical density ... 5.32 g cm⁻³
DOS at the Fermi energy ... 17.02 states/eV/f.u.

a = 13.783 Å, b = 13.407 Å, c = 6.841 Å
α = 90.00°, β = 119.72°, γ = 90.00°
Space group C2/c (No. 15)
Inequivalent atoms, fractional coordinates:
Ca: 0.000 0.000 0.000 [4 per cell]
Tb: 0.250 0.250 0.000 [4 per cell]
Dy: 0.000 0.500 0.000 [4 per cell]
Dy: 0.250 0.250 0.500 [4 per cell]
Y: 0.000 0.254 0.000 [8 per cell]
Y: 0.234 0.499 0.483 [8 per cell]

The following is a GGA-PBE calculation of an optimized crystal structure of CaTb2Dy3Y6, from Alexandria.

Results
Total energy ... -5.268 eV per atom
DFT formation energy ... 5 kJ per mole of atoms
M_tot ... 0.0 μB per cell
Theoretical density ... 5.87 g cm⁻³
DOS at the Fermi energy ... 19.45 states/eV/f.u.

a = 6.210 Å, b = 10.752 Å, c = 11.873 Å
α = 90.00°, β = 100.01°, γ = 90.00°
Space group C2/m (No. 12)
Inequivalent atoms, fractional coordinates:
Ca: 0.000 0.000 0.000 [2 per cell]
Tb: 0.000 0.333 0.000 [4 per cell]
Dy: 0.000 0.166 0.500 [4 per cell]
Dy: 0.000 0.500 0.500 [2 per cell]
Y: 0.245 0.331 0.746 [8 per cell]
Y: 0.247 0.500 0.254 [4 per cell]

The following is a GGA-PBE calculation of an optimized crystal structure of CaDy2Tc, from Alexandria.

Results
Distance to the lowest polymorph of the same formula ... 0.0 kJ/mol of atoms
Total energy ... -5.396 eV per atom
DFT formation energy ... 0 kJ per mole of atoms
M_tot ... 0.0 μB per cell
Theoretical density ... 6.80 g cm⁻³
DOS at the Fermi energy ... 6.14 states/eV/f.u.

a = 3.503 Å, b = 3.503 Å, c = 9.216 Å
α = 90.00°, β = 90.00°, γ = 90.00°
Space group P4/mmm (No. 123)
Inequivalent atoms, fractional coordinates:
Ca: 0.000 0.000 0.000 [1 per cell]
Dy: 0.500 0.500 0.325 [2 per cell]
Tc: 0.000 0.000 0.500 [1 per cell]

The following is a GGA-PBE calculation of an optimized crystal structure of CaDyTc4, from Alexandria.

Results
Total energy ... -7.963 eV per atom
DFT formation energy ... 5 kJ per mole of atoms
M_tot ... 0.0 μB per cell
Theoretical density ... 8.85 g cm⁻³
DOS at the Fermi energy ... 5.06 states/eV/f.u.

a = 7.642 Å, b = 7.642 Å, c = 7.642 Å
α = 90.00°, β = 90.00°, γ = 90.00°
Space group F-43m (No. 216)
Inequivalent atoms, fractional coordinates:
Ca: 0.000 0.000 0.000 [4 per cell]
Dy: 0.250 0.250 0.250 [4 per cell]
Tc: 0.125 0.125 0.625 [16 per cell]

The following is a GGA-PBE calculation of an optimized crystal structure of CaDy3Tc, from Alexandria.

Results
Total energy ... -5.177 eV per atom
DFT formation energy ... 6 kJ per mole of atoms
M_tot ... 0.0 μB per cell
Theoretical density ... 6.49 g cm⁻³
DOS at the Fermi energy ... 4.52 states/eV/f.u.

a = 5.431 Å, b = 5.431 Å, c = 5.431 Å
α = 90.00°, β = 90.00°, γ = 90.00°
Space group Pm-3m (No. 221)
Inequivalent atoms, fractional coordinates:
Ca: 0.000 0.000 0.000 [1 per cell]
Dy: 0.000 0.500 0.500 [3 per cell]
Tc: 0.500 0.500 0.500 [1 per cell]

The following is a GGA-PBE calculation of an optimized crystal structure of CaDy2Tc, from Alexandria.

Results
Distance to the lowest polymorph of the same formula ... 24.9 kJ/mol of atoms
Total energy ... -5.138 eV per atom
DFT formation energy ... 25 kJ per mole of atoms
M_tot ... 0.0 μB per cell
Theoretical density ... 6.51 g cm⁻³
DOS at the Fermi energy ... 4.87 states/eV/f.u.

a = 3.5508 Å, b = 3.5508 Å, c = 32.4777 Å
α = 90.00°, β = 90.00°, γ = 120.00°
Space group R-3m (No. 166, hexagonal axes)
Inequivalent atoms, fractional coordinates:
Ca: 0.0000 0.0000 0.0000 [3 per cell]
Dy: 0.0000 0.0000 0.1070 [6 per cell]
Tc: 0.0000 0.0000 0.5000 [3 per cell]

The following is a GGA-PBE calculation of an optimized crystal structure of CaDy3Te6, from Alexandria.

Results
Total energy ... -4.770 eV per atom
Energy relative to the elements, uncorrected ... -1.304 eV per atom
M_tot ... 0.0 μB per cell
Theoretical density ... 6.30 g cm⁻³
DOS at the Fermi energy ... 5.95 states/eV/f.u.

a = 13.046 Å, b = 4.349 Å, c = 13.084 Å
α = 90.00°, β = 113.23°, γ = 90.00°
Space group P2_1/m (No. 11)
Inequivalent atoms, fractional coordinates:
Ca: 0.213 0.250 0.051 [2 per cell]
Dy: 0.021 0.750 0.282 [2 per cell]
Dy: 0.338 0.250 0.433 [2 per cell]
Dy: 0.408 0.750 0.835 [2 per cell]
Te: 0.038 0.750 0.903 [2 per cell]
Te: 0.114 0.250 0.454 [2 per cell]
Te: 0.232 0.250 0.781 [2 per cell]
Te: 0.247 0.750 0.254 [2 per cell]
Te: 0.411 0.750 0.074 [2 per cell]
Te: 0.443 0.750 0.612 [2 per cell]

The following is a GGA-PBE calculation of an optimized crystal structure of CaDyTe2, from Alexandria.

Results
Distance to the lowest polymorph of the same formula ... 0.4 kJ/mol of atoms
Total energy ... -4.669 eV per atom
Energy relative to the elements, uncorrected ... -1.447 eV per atom
M_tot ... 0.0 μB per cell
Theoretical density ... 6.22 g cm⁻³
DOS at the Fermi energy ... 1.72 states/eV/f.u.

a = 8.856 Å, b = 17.641 Å, c = 7.626 Å
α = 90.00°, β = 124.91°, γ = 90.00°
Space group C2/c (No. 15)
Inequivalent atoms, fractional coordinates:
Ca: 0.000 0.062 0.250 [4 per cell]
Ca: 0.000 0.187 0.750 [4 per cell]
Dy: 0.000 0.312 0.250 [4 per cell]
Dy: 0.000 0.436 0.750 [4 per cell]
Te: 0.243 0.438 0.247 [8 per cell]
Te: 0.249 0.313 0.748 [8 per cell]

The following is a GGA-PBE calculation of an optimized crystal structure of Ca5DyTe6, from Alexandria.

Results
Total energy ... -4.365 eV per atom
Energy relative to the elements, uncorrected ... -1.577 eV per atom
M_tot ... 0.0 μB per cell
Theoretical density ... 4.91 g cm⁻³
DOS at the Fermi energy ... 3.68 states/eV/f.u.

a = 7.764 Å, b = 13.441 Å, c = 7.766 Å
α = 90.00°, β = 109.47°, γ = 90.00°
Space group C2/m (No. 12)
Inequivalent atoms, fractional coordinates:
Ca: 0.000 0.000 0.000 [2 per cell]
Ca: 0.000 0.166 0.500 [4 per cell]
Ca: 0.000 0.332 0.000 [4 per cell]
Dy: 0.000 0.500 0.500 [2 per cell]
Te: 0.245 0.500 0.253 [4 per cell]
Te: 0.246 0.336 0.747 [8 per cell]

The following is a GGA-PBE calculation of an optimized crystal structure of CaDyTe, from Alexandria.

Results
Total energy ... -4.023 eV per atom
Energy relative to the elements, uncorrected ... -0.775 eV per atom
M_tot ... 0.0 μB per cell
Theoretical density ... 5.34 g cm⁻³
DOS at the Fermi energy ... 2.81 states/eV/f.u.

a = 8.230 Å, b = 11.896 Å, c = 8.389 Å
α = 90.00°, β = 90.00°, γ = 90.00°
Space group Ima2 (No. 46)
Inequivalent atoms, fractional coordinates:
Ca: 0.250 0.016 0.000 [4 per cell]
Ca: 0.250 0.016 0.443 [4 per cell]
Dy: 0.018 0.246 0.222 [8 per cell]
Te: 0.000 0.000 0.722 [4 per cell]
Te: 0.250 0.750 0.472 [4 per cell]

The following is a GGA-PBE calculation of an optimized crystal structure of CaDy5Te6, from Alexandria.

Results
Total energy ... -4.988 eV per atom
Energy relative to the elements, uncorrected ... -1.333 eV per atom
M_tot ... 0.0 μB per cell
Theoretical density ... 7.58 g cm⁻³
DOS at the Fermi energy ... 5.74 states/eV/f.u.

a = 7.541 Å, b = 13.110 Å, c = 7.607 Å
α = 90.00°, β = 109.39°, γ = 90.00°
Space group C2/m (No. 12)
Inequivalent atoms, fractional coordinates:
Ca: 0.000 0.000 0.000 [2 per cell]
Dy: 0.000 0.164 0.500 [4 per cell]
Dy: 0.000 0.332 0.000 [4 per cell]
Dy: 0.000 0.500 0.500 [2 per cell]
Te: 0.247 0.500 0.247 [4 per cell]
Te: 0.248 0.333 0.747 [8 per cell]

The following is a GGA-PBE calculation of an optimized crystal structure of Ca2DyTe4, from Alexandria.

Results
Total energy ... -4.323 eV per atom
Energy relative to the elements, uncorrected ... -1.299 eV per atom
M_tot ... 0.0 μB per cell
Theoretical density ... 5.29 g cm⁻³
DOS at the Fermi energy ... 2.91 states/eV/f.u.

a = 4.229 Å, b = 14.732 Å, c = 15.178 Å
α = 90.00°, β = 90.00°, γ = 90.00°
Space group Cmcm (No. 63)
Inequivalent atoms, fractional coordinates:
Ca: 0.000 0.136 0.072 [8 per cell]
Dy: 0.000 0.381 0.250 [4 per cell]
Te: 0.000 0.032 0.250 [4 per cell]
Te: 0.000 0.210 0.624 [8 per cell]
Te: 0.000 0.500 0.000 [4 per cell]

The following is a GGA-PBE calculation of an optimized crystal structure of Ca4DyTe5, from Alexandria.

Results
Distance to the lowest polymorph of the same formula ... 0.5 kJ/mol of atoms
Total energy ... -4.393 eV per atom
Energy relative to the elements, uncorrected ... -1.562 eV per atom
M_tot ... 0.0 μB per cell
Theoretical density ... 5.04 g cm⁻³
DOS at the Fermi energy ... 3.17 states/eV/f.u.

a = 10.008 Å, b = 10.008 Å, c = 6.319 Å
α = 90.00°, β = 90.00°, γ = 90.00°
Space group I4/m (No. 87)
Inequivalent atoms, fractional coordinates:
Ca: 0.098 0.699 0.000 [8 per cell]
Dy: 0.000 0.000 0.500 [2 per cell]
Te: 0.000 0.000 0.000 [2 per cell]
Te: 0.099 0.705 0.500 [8 per cell]

The following is a GGA-PBE calculation of an optimized crystal structure of CaDy2Te3, from Alexandria.

Results
Total energy ... -4.828 eV per atom
Energy relative to the elements, uncorrected ... -1.390 eV per atom
M_tot ... 0.0 μB per cell
Theoretical density ... 6.90 g cm⁻³
DOS at the Fermi energy ... 2.49 states/eV/f.u.

a = 4.369 Å, b = 6.205 Å, c = 13.271 Å
α = 90.00°, β = 90.00°, γ = 90.00°
Space group Immm (No. 71)
Inequivalent atoms, fractional coordinates:
Ca: 0.000 0.000 0.000 [2 per cell]
Dy: 0.000 0.000 0.335 [4 per cell]
Te: 0.000 0.500 0.000 [2 per cell]
Te: 0.000 0.500 0.331 [4 per cell]

The following is a GGA-PBE calculation of an optimized crystal structure of Ca3Dy4Te8, from Alexandria.

Results
Total energy ... -4.780 eV per atom
Energy relative to the elements, uncorrected ... -1.477 eV per atom
M_tot ... 0.0 μB per cell
Theoretical density ... 6.15 g cm⁻³
DOS at the Fermi energy ... 4.10 states/eV/f.u.

a = 12.427 Å, b = 12.463 Å, c = 8.768 Å
α = 90.00°, β = 134.54°, γ = 90.00°
Space group C2/m (No. 12)
Inequivalent atoms, fractional coordinates:
Ca: 0.000 0.000 0.000 [2 per cell]
Ca: 0.250 0.250 0.000 [4 per cell]
Dy: 0.000 0.500 0.000 [2 per cell]
Dy: 0.000 0.500 0.500 [2 per cell]
Dy: 0.250 0.250 0.500 [4 per cell]
Te: 0.000 0.249 0.500 [4 per cell]
Te: 0.000 0.252 0.000 [4 per cell]
Te: 0.245 0.500 0.997 [4 per cell]
Te: 0.250 0.000 0.505 [4 per cell]

The following is a GGA-PBE calculation of an optimized crystal structure of Ca4DyTe5, from Alexandria.

Results
Distance to the lowest polymorph of the same formula ... 0.0 kJ/mol of atoms
Total energy ... -4.398 eV per atom
Energy relative to the elements, uncorrected ... -1.567 eV per atom
M_tot ... 0.0 μB per cell
Theoretical density ... 5.03 g cm⁻³
DOS at the Fermi energy ... 2.38 states/eV/f.u.

a = 4.469 Å, b = 4.469 Å, c = 31.750 Å
α = 90.00°, β = 90.00°, γ = 90.00°
Space group I4/mmm (No. 139)
Inequivalent atoms, fractional coordinates:
Ca: 0.000 0.000 0.099 [4 per cell]
Ca: 0.000 0.000 0.300 [4 per cell]
Dy: 0.000 0.000 0.500 [2 per cell]
Te: 0.000 0.000 0.000 [2 per cell]
Te: 0.000 0.000 0.200 [4 per cell]
Te: 0.000 0.000 0.402 [4 per cell]

The following is a GGA-PBE calculation of an optimized crystal structure of CaDy5Te8, from Alexandria.

Results
Total energy ... -4.898 eV per atom
Energy relative to the elements, uncorrected ... -1.316 eV per atom
M_tot ... 0.0 μB per cell
Theoretical density ... 5.85 g cm⁻³
DOS at the Fermi energy ... 4.81 states/eV/f.u.

a = 12.860 Å, b = 12.860 Å, c = 12.860 Å
α = 90.00°, β = 90.00°, γ = 90.00°
Space group F-43m (No. 216)
Inequivalent atoms, fractional coordinates:
Ca: 0.000 0.000 0.000 [4 per cell]
Dy: 0.127 0.127 0.627 [16 per cell]
Dy: 0.250 0.250 0.250 [4 per cell]
Te: 0.117 0.117 0.383 [16 per cell]
Te: 0.135 0.135 0.865 [16 per cell]